Entry 1:
The following is a meta-GGA SCAN calculation of a crystal of LaFeSi2 relaxed with PBEsol, from the Alexandria database. Values from VASP.

Values from the calculation:
The calculation puts the uncorrected formation energy at -3.8 kJ per mole of atoms.

Geometry as Quantum ESPRESSO input:
```
&SYSTEM
  ibrav = 0, nat = 4, ntyp = 3
/
ATOMIC_SPECIES
La 138.91 La.upf
Fe 55.84 Fe.upf
Si 28.09 Si.upf
ATOMIC_POSITIONS angstrom
La 0.000 0.000 0.000
Fe 0.993 0.000 2.952
Si 0.384 1.963 3.996
Si 1.602 1.963 1.908
CELL_PARAMETERS angstrom
2.993 0.000 0.000
0.000 3.926 0.000
-1.006 0.000 5.904
```

=====

Entry 2:
The following is a meta-GGA SCAN calculation of a crystal of K2Re3S6 relaxed with PBEsol, from the Alexandria database. Values from VASP.

Values from the calculation:
The calculation puts the uncorrected formation energy at -86.0 kJ per mole of atoms.

Geometry as Quantum ESPRESSO input:
```
&SYSTEM
  ibrav = 0, nat = 44, ntyp = 3
/
ATOMIC_SPECIES
K 39.10 K.upf
Re 186.21 Re.upf
S 32.06 S.upf
ATOMIC_POSITIONS angstrom
K 7.978 3.828 8.844
K 6.000 2.301 11.558
K 8.123 2.056 2.948
K 9.957 2.301 6.131
K 6.145 -2.301 5.662
K 7.978 -2.056 8.844
K 10.102 -2.301 0.235
K 8.123 -3.828 2.948
Re 3.201 1.711 7.447
Re 3.270 0.993 4.906
Re 5.496 1.459 6.210
Re 3.125 -0.993 10.802
Re 3.346 -1.711 1.551
Re 5.641 -1.459 0.313
Re 10.461 1.459 11.479
Re 12.756 1.711 10.242
Re 12.977 0.993 0.990
Re 10.606 -1.459 5.583
Re 12.832 -0.993 6.886
Re 12.901 -1.711 4.346
S 6.708 3.489 5.665
S 2.169 0.850 9.496
S 5.301 2.169 8.491
S 4.187 0.399 0.832
S 9.539 3.489 0.231
S 2.314 -0.850 3.600
S 5.419 0.863 3.892
S 4.042 -0.399 6.728
S 5.274 -0.863 9.789
S 10.656 2.169 9.198
S 7.552 0.280 6.789
S 7.697 -0.280 0.893
S 8.405 0.280 10.900
S 8.550 -0.280 5.004
S 5.446 -2.169 2.595
S 10.827 0.863 2.004
S 12.060 0.399 5.065
S 10.682 -0.863 7.900
S 13.787 0.850 8.193
S 6.563 -3.489 11.561
S 11.915 -0.399 10.961
S 10.801 -2.169 3.301
S 13.932 -0.850 2.297
S 9.394 -3.489 6.127
CELL_PARAMETERS angstrom
8.196 -4.834 0.000
8.196 4.834 0.000
-0.290 0.000 11.792
```

=====

Entry 3:
The following is a meta-GGA SCAN calculation of a crystal of NaV3P2O13 relaxed with PBEsol, from the Alexandria database. Values from VASP.

Values from the calculation:
The calculation puts the uncorrected formation energy at -239.5 kJ per mole of atoms.

Geometry as Quantum ESPRESSO input:
```
&SYSTEM
  ibrav = 0, nat = 76, ntyp = 4
/
ATOMIC_SPECIES
Na 22.99 Na.upf
V 50.94 V.upf
P 30.97 P.upf
O 16.00 O.upf
ATOMIC_POSITIONS angstrom
Na 1.227 0.447 0.000
Na 2.971 6.440 5.070
Na 5.424 5.545 0.000
Na 7.169 11.538 5.070
V 0.007 4.377 8.224
V 0.048 1.631 2.681
V 1.482 8.961 0.365
V 2.716 2.968 5.435
V 4.150 7.624 7.751
V 4.191 10.370 3.154
V 4.205 1.616 8.224
V 4.246 4.361 2.681
V 5.679 9.017 0.365
V 6.914 3.024 5.435
V 8.347 10.354 7.751
V 8.388 7.608 3.154
P 0.957 7.427 7.828
P 1.015 10.543 3.027
P 3.183 4.550 8.097
P 3.241 1.434 2.758
P 5.155 10.551 7.828
P 5.213 7.435 3.027
P 7.381 1.442 8.097
P 7.439 4.559 2.758
O 0.019 2.471 8.598
O 0.041 3.488 2.289
O 0.447 6.042 7.412
O 0.518 11.919 3.516
O 0.755 10.920 6.503
O 0.871 7.098 4.382
O 1.080 10.083 9.073
O 1.091 7.972 1.826
O 1.112 10.530 1.478
O 1.114 2.993 5.431
O 1.113 7.517 9.365
O 1.808 4.255 8.737
O 1.860 1.655 2.072
O 2.338 7.647 7.142
O 2.390 10.247 3.667
O 3.085 1.524 4.295
O 3.084 8.985 0.361
O 3.086 4.537 6.548
O 3.106 1.979 6.896
O 3.118 4.090 4.003
O 3.326 1.106 9.452
O 3.443 4.928 1.433
O 3.680 5.927 8.586
O 3.751 0.049 2.342
O 4.157 9.481 7.360
O 4.179 8.463 3.528
O 4.217 3.522 8.598
O 4.239 2.504 2.289
O 4.645 11.936 7.412
O 4.716 6.058 3.516
O 4.953 7.057 6.503
O 5.069 10.880 4.382
O 5.278 7.895 9.073
O 5.289 10.006 1.826
O 5.310 7.448 1.478
O 5.312 3.000 5.431
O 5.311 10.461 9.365
O 6.006 1.738 8.737
O 6.058 4.338 2.072
O 6.535 10.330 7.142
O 6.588 7.730 3.667
O 7.283 4.469 4.295
O 7.282 8.993 0.361
O 7.284 1.455 6.548
O 7.304 4.014 6.896
O 7.315 1.902 4.003
O 7.524 4.887 9.452
O 7.641 1.065 1.433
O 7.878 0.066 8.586
O 7.949 5.943 2.342
O 8.354 8.497 7.360
O 8.376 9.515 3.528
CELL_PARAMETERS angstrom
8.396 0.000 0.000
0.000 11.985 0.000
0.000 0.000 10.140
```

=====

Entry 4:
The following is a meta-GGA SCAN calculation of a crystal of MgHgRh3 relaxed with PBEsol, from the Alexandria database. Values from VASP.

Values from the calculation:
The calculation puts the energy of formation from the pure elements at 1.048 eV/atom.

Geometry as Quantum ESPRESSO input:
```
&SYSTEM
  ibrav = 0, nat = 5, ntyp = 3
/
ATOMIC_SPECIES
Mg 24.30 Mg.upf
Hg 200.59 Hg.upf
Rh 102.91 Rh.upf
ATOMIC_POSITIONS angstrom
Mg 0.000 0.000 0.000
Hg 2.227 2.227 2.227
Rh 0.000 0.000 2.227
Rh 0.000 2.227 0.000
Rh 2.227 0.000 0.000
CELL_PARAMETERS angstrom
4.455 0.000 0.000
0.000 4.455 0.000
0.000 0.000 4.455
```

=====

Entry 5:
The following is a meta-GGA SCAN calculation of a crystal of Cd3BiOs relaxed with PBEsol, from the Alexandria database. Values from VASP.

Values from the calculation:
The calculation puts the energy of formation from the pure elements at 0.886 eV/atom.

Geometry as Quantum ESPRESSO input:
```
&SYSTEM
  ibrav = 0, nat = 5, ntyp = 3
/
ATOMIC_SPECIES
Cd 112.41 Cd.upf
Bi 208.98 Bi.upf
Os 190.23 Os.upf
ATOMIC_POSITIONS angstrom
Cd 0.000 0.000 2.557
Cd 0.000 2.557 0.000
Cd 2.557 0.000 0.000
Bi 2.557 2.557 2.557
Os 0.000 0.000 0.000
CELL_PARAMETERS angstrom
5.114 0.000 0.000
0.000 5.114 0.000
0.000 0.000 5.114
```

=====

Entry 6:
The following is a meta-GGA SCAN calculation of a crystal of CaSiMoP2 relaxed with PBEsol, from the Alexandria database. Values from VASP.

Values from the calculation:
The calculation puts the uncorrected formation energy at 172.1 kJ per mole of atoms.

Geometry as Quantum ESPRESSO input:
```
&SYSTEM
  ibrav = 0, nat = 5, ntyp = 4
/
ATOMIC_SPECIES
Ca 40.08 Ca.upf
Si 28.09 Si.upf
Mo 95.94 Mo.upf
P 30.97 P.upf
ATOMIC_POSITIONS angstrom
Ca 0.000 0.000 0.000
Si 0.000 0.000 2.465
Mo 2.450 2.450 2.465
P 0.000 2.450 0.000
P 2.450 0.000 0.000
CELL_PARAMETERS angstrom
4.900 0.000 0.000
0.000 4.900 0.000
0.000 0.000 4.929
```

=====

The calculation returns the following D(E_F) values, one per record and in order: 0.636, 0.000, 0.000, 1.149, 0.525, 0.626 states/eV per atom.